Te3RuPt after structural relaxation. Source: the Alexandria database, functional GGA-PBE.

**ρ**: 8.50 g/cm³
**Formation energy (no corrections)**: 0.8586 eV per atom
**Density of states at the Fermi level**: 9.0 states/eV/cell

a b c (Å): 5.099 5.099 5.099
angles (deg): 90.00 90.00 90.00
Space group Pm-3m (No. 221)
Asymmetric unit:
Te: 0.000 0.000 0.500 x3
Ru: 0.000 0.000 0.000 x1
Pt: 0.500 0.500 0.500 x1